Below is a relaxed structure of NaPm2Eu, with properties calculated at the GGA-PBE level.

POSCAR file:
```
NaPm2Eu
1.0
3.604 0.000 0.000
1.802 3.122 0.000
1.802 1.041 13.174
Eu Na Pm
1 1 2
Direct
0.500 0.500 0.500
0.000 0.000 0.000
0.089 0.089 0.732
0.911 0.911 0.268
```

Properties
For the energy of formation from the pure elements, the calculation gives 212 meV per atom.

***

Below is a relaxed structure of Na4PmEu, with properties calculated at the GGA-PBE level.

POSCAR file:
```
Na4PmEu
1.0
6.738 0.000 0.000
3.369 5.835 0.000
3.369 1.945 5.501
Eu Na Pm
1 4 1
Direct
0.250 0.250 0.250
0.626 0.626 0.123
0.626 0.123 0.626
0.626 0.626 0.626
0.123 0.626 0.626
0.000 0.000 0.000
```

Properties
For the energy of formation from the pure elements, the calculation gives 206 meV per atom.

***

Below is a relaxed structure of Na2PmEu, with properties calculated at the GGA-PBE level.

POSCAR file:
```
Na2PmEu
1.0
3.579 0.000 0.000
1.789 3.099 0.000
1.789 1.033 13.547
Eu Na Pm
1 2 1
Direct
0.500 0.500 0.500
0.085 0.085 0.745
0.915 0.915 0.255
0.000 0.000 0.000
```

Properties
For the energy of formation from the pure elements, the calculation gives 255 meV per atom.

***

Below is a relaxed structure of NaPmEu2, with properties calculated at the GGA-PBE level.

POSCAR file:
```
NaPmEu2
1.0
-5.402 1.152 -2.437
-4.944 -0.035 3.465
-2.839 5.177 1.262
Eu Na Pm
2 1 1
Direct
0.250 0.250 0.250
0.750 0.750 0.750
0.500 0.500 0.500
0.000 0.000 0.000
```

Properties
For the energy relative to the lowest polymorph listed for this composition, the calculation gives 141 meV/atom. For the energy of formation from the pure elements, the calculation gives 223 meV per atom.

***

Below is a relaxed structure of NaPmEu2, with properties calculated at the GGA-PBE level.

POSCAR file:
```
NaPmEu2
1.0
-3.230 -1.189 1.381
1.783 -2.645 1.893
1.155 7.074 8.797
Eu Na Pm
2 1 1
Direct
0.000 0.000 0.760
0.000 0.000 0.240
0.500 0.500 0.500
0.500 0.500 0.000
```

Properties
For the energy relative to the lowest polymorph listed for this composition, the calculation gives 7 meV/atom. For the energy of formation from the pure elements, the calculation gives 89 meV per atom.

***

Below is a relaxed structure of NaPmEu2, with properties calculated at the GGA-PBE level.

POSCAR file:
```
NaPmEu2
1.0
3.763 0.000 0.000
1.882 3.259 0.000
1.882 1.086 12.655
Eu Na Pm
2 1 1
Direct
0.748 0.748 0.757
0.252 0.252 0.243
0.500 0.500 0.500
0.000 0.000 0.000
```

Properties
For the energy relative to the lowest polymorph listed for this composition, the calculation gives 0 meV/atom. For the energy of formation from the pure elements, the calculation gives 82 meV per atom.

***

Below is a relaxed structure of NaPmEuSb, with properties calculated at the GGA-PBE level.

POSCAR file:
```
NaPmEuSb
1.0
-3.070 -3.642 2.772
2.199 -4.784 1.627
0.964 -0.911 5.349
Eu Sb Na Pm
1 1 1 1
Direct
0.750 0.750 0.750
0.000 0.000 0.000
0.500 0.500 0.500
0.250 0.250 0.250
```

Properties
The formation energy without anion corrections is -0.416 eV/atom.

***

Below is a relaxed structure of NaPmEuZn, with properties calculated at the GGA-PBE level.

POSCAR file:
```
NaPmEuZn
1.0
-1.967 -2.749 -4.320
0.920 -5.387 -0.473
-4.125 -3.555 0.659
Eu Na Zn Pm
1 1 1 1
Direct
0.750 0.750 0.750
0.500 0.500 0.500
0.000 0.000 0.000
0.250 0.250 0.250
```

Properties
For the energy of formation from the pure elements, the calculation gives 57 meV per atom.

***

Below is a relaxed structure of NaPrEu2, with properties calculated at the GGA-PBE level.

POSCAR file:
```
NaPrEu2
1.0
3.986 0.000 0.000
0.000 6.250 0.000
0.000 0.000 6.250
Eu Pr Na
2 1 1
Direct
0.000 0.000 0.500
0.000 0.500 0.000
0.500 0.500 0.500
0.500 0.000 0.000
```

Properties
For the energy relative to the lowest polymorph listed for this composition, the calculation gives 68 meV/atom. For the energy of formation from the pure elements, the calculation gives 133 meV per atom.

***

Below is a relaxed structure of NaPrEu2, with properties calculated at the GGA-PBE level.

POSCAR file:
```
NaPrEu2
1.0
-1.582 -1.233 3.143
1.309 -3.423 -0.684
9.511 2.487 5.764
Eu Pr Na
2 1 1
Direct
0.000 0.000 0.742
0.000 0.000 0.258
0.500 0.500 0.500
0.500 0.500 0.000
```

Properties
For the energy relative to the lowest polymorph listed for this composition, the calculation gives 14 meV/atom. For the energy of formation from the pure elements, the calculation gives 79 meV per atom.

***

Below is a relaxed structure of Na4PrEu, with properties calculated at the GGA-PBE level.

POSCAR file:
```
Na4PrEu
1.0
-3.077 -2.978 -5.236
3.678 -2.863 -4.902
0.145 -6.734 -0.625
Eu Pr Na
1 1 4
Direct
0.250 0.250 0.250
0.000 0.000 0.000
0.626 0.626 0.123
0.626 0.123 0.626
0.626 0.626 0.626
0.123 0.626 0.626
```

Properties
For the energy of formation from the pure elements, the calculation gives 189 meV per atom.

***

Below is a relaxed structure of NaPrEu2, with properties calculated at the GGA-PBE level.

POSCAR file:
```
NaPrEu2
1.0
3.780 0.000 0.000
1.890 3.274 0.000
1.890 1.091 12.725
Eu Pr Na
2 1 1
Direct
0.752 0.752 0.745
0.248 0.248 0.255
0.500 0.500 0.500
0.000 0.000 0.000
```

Properties
For the energy relative to the lowest polymorph listed for this composition, the calculation gives 0 meV/atom. For the energy of formation from the pure elements, the calculation gives 65 meV per atom.

***

no.,final energy (eV per atom)
1,-5.062
2,-3.178
3,-4.161
4,-6.431
5,-6.566
6,-6.573
7,-5.532
8,-4.348
9,-6.529
10,-6.583
11,-3.199
12,-6.597